No. 1
# CaTlPb2 (PBEsol, optimized geometry)
data_CaTlPb2
_cell_length_a 6.889
_cell_length_b 9.202
_cell_length_c 3.590
_cell_angle_alpha 90.00
_cell_angle_beta 90.00
_cell_angle_gamma 90.00
_space_group_name_H-M_alt 'C m m m'
_space_group_IT_number 65
_space_group_name_Hall '-C 2 2'
loop_
_atom_site_label
_atom_site_type_symbol
_atom_site_fract_x
_atom_site_fract_y
_atom_site_fract_z
Ca1 Ca 0.000 0.000 0.000
Tl1 Tl 0.000 0.500 0.000
Pb1 Pb 0.250 0.250 0.500
# DFT total energy = -3.479 eV/atom
# DOS at the Fermi energy = 4.4 states/eV/cell
# Formation energy = -0.288 eV per atom
# Crystal system = orthorhombic


No. 2
# CaTlPb2 (PBEsol, optimized geometry)
data_CaTlPb2
_cell_length_a 4.778
_cell_length_b 4.778
_cell_length_c 9.836
_cell_angle_alpha 90.00
_cell_angle_beta 90.00
_cell_angle_gamma 90.00
_space_group_name_H-M_alt 'I -4 m 2'
_space_group_IT_number 119
_space_group_name_Hall 'I -4 -2'
loop_
_atom_site_label
_atom_site_type_symbol
_atom_site_fract_x
_atom_site_fract_y
_atom_site_fract_z
Ca1 Ca 0.000 0.000 0.000
Tl1 Tl 0.000 0.500 0.750
Pb1 Pb 0.000 0.000 0.500
Pb2 Pb 0.000 0.500 0.250
# DFT total energy = -3.495 eV/atom
# DOS at the Fermi energy = 3.7 states/eV/cell
# Formation energy = -0.305 eV per atom
# Crystal system = tetragonal


No. 3
# CaTlPb (PBEsol, optimized geometry)
data_CaTlPb
_cell_length_a 3.768
_cell_length_b 4.415
_cell_length_c 10.410
_cell_angle_alpha 90.00
_cell_angle_beta 90.00
_cell_angle_gamma 90.00
_space_group_name_H-M_alt 'I m m 2'
_space_group_IT_number 44
loop_
_space_group_symop_operation_xyz
'x,y,z'
'-x,-y,z'
'-x,y,z'
'x,-y,z'
'x+1/2,y+1/2,z+1/2'
'-x+1/2,-y+1/2,z+1/2'
'-x+1/2,y+1/2,z+1/2'
'x+1/2,-y+1/2,z+1/2'
loop_
_atom_site_label
_atom_site_type_symbol
_atom_site_fract_x
_atom_site_fract_y
_atom_site_fract_z
Ca1 Ca 0.000 0.000 0.000
Tl1 Tl 0.000 0.000 0.328
Pb1 Pb 0.000 0.000 0.676
# DFT total energy = -3.232 eV/atom
# DOS at the Fermi energy = 2.7 states/eV/cell
# Formation energy = -0.311 eV per atom
# Distance to the lowest polymorph of the same formula = 30 meV/atom
# Crystal system = orthorhombic


No. 4
# CaTlPb (PBEsol, optimized geometry)
data_CaTlPb
_cell_length_a 5.684
_cell_length_b 5.681
_cell_length_c 6.066
_cell_angle_alpha 90.00
_cell_angle_beta 117.80
_cell_angle_gamma 90.00
_space_group_name_H-M_alt 'C 1 m 1'
_space_group_IT_number 8
loop_
_space_group_symop_operation_xyz
'x,y,z'
'x,-y,z'
'x+1/2,y+1/2,z'
'x+1/2,-y+1/2,z'
loop_
_atom_site_label
_atom_site_type_symbol
_atom_site_fract_x
_atom_site_fract_y
_atom_site_fract_z
Ca1 Ca 0.000 0.000 0.000
Tl1 Tl 0.327 0.000 0.653
Pb1 Pb 0.180 0.500 0.361
# DFT total energy = -3.225 eV/atom
# DOS at the Fermi energy = 3.7 states/eV/cell
# Formation energy = -0.304 eV per atom
# Distance to the lowest polymorph of the same formula = 37 meV/atom
# Crystal system = monoclinic


No. 5
# CaTlPb (PBEsol, optimized geometry)
data_CaTlPb
_cell_length_a 7.247
_cell_length_b 7.247
_cell_length_c 7.247
_cell_angle_alpha 90.00
_cell_angle_beta 90.00
_cell_angle_gamma 90.00
_space_group_name_H-M_alt 'F -4 3 m'
_space_group_IT_number 216
_space_group_name_Hall 'F -4 2 3'
loop_
_atom_site_label
_atom_site_type_symbol
_atom_site_fract_x
_atom_site_fract_y
_atom_site_fract_z
Ca1 Ca 0.000 0.000 0.000
Tl1 Tl 0.250 0.250 0.750
Pb1 Pb 0.250 0.250 0.250
# DFT total energy = -3.004 eV/atom
# DOS at the Fermi energy = 7.2 states/eV/cell
# Formation energy = -0.084 eV per atom
# Distance to the lowest polymorph of the same formula = 258 meV/atom
# Crystal system = cubic


No. 6
# CaTlPb (PBEsol, optimized geometry)
data_CaTlPb
_cell_length_a 5.1429
_cell_length_b 5.1429
_cell_length_c 3.7409
_cell_angle_alpha 90.00
_cell_angle_beta 90.00
_cell_angle_gamma 120.00
_space_group_name_H-M_alt 'P 3 m 1'
_space_group_IT_number 156
loop_
_space_group_symop_operation_xyz
'x,y,z'
'-y,x-y,z'
'-x+y,-x,z'
'-y,-x,z'
'-x+y,y,z'
'x,x-y,z'
loop_
_atom_site_label
_atom_site_type_symbol
_atom_site_fract_x
_atom_site_fract_y
_atom_site_fract_z
Ca1 Ca 0.0000 0.0000 0.0000
Tl1 Tl 0.3333 0.6667 0.6698
Pb1 Pb 0.6667 0.3333 0.3875
# DFT total energy = -3.262 eV/atom
# DOS at the Fermi energy = 1.3 states/eV/cell
# Formation energy = -0.341 eV per atom
# Distance to the lowest polymorph of the same formula = 0 meV/atom
# Crystal system = trigonal


No. 7
# Ca2Tl3Pb3 (PBEsol, optimized geometry)
data_Ca2Tl3Pb3
_cell_length_a 4.711
_cell_length_b 4.787
_cell_length_c 9.792
_cell_angle_alpha 90.00
_cell_angle_beta 90.00
_cell_angle_gamma 90.00
_space_group_name_H-M_alt 'P m m m'
_space_group_IT_number 47
loop_
_space_group_symop_operation_xyz
'x,y,z'
'-x,-y,-z'
'-x,-y,z'
'x,y,-z'
'x,-y,-z'
'-x,y,z'
'-x,y,-z'
'x,-y,z'
loop_
_atom_site_label
_atom_site_type_symbol
_atom_site_fract_x
_atom_site_fract_y
_atom_site_fract_z
Ca1 Ca 0.000 0.000 0.249
Tl1 Tl 0.000 0.500 0.000
Tl2 Tl 0.000 0.500 0.500
Tl3 Tl 0.500 0.000 0.000
Pb1 Pb 0.500 0.000 0.500
Pb2 Pb 0.500 0.500 0.248
# DFT total energy = -3.341 eV/atom
# DOS at the Fermi energy = 4.1 states/eV/cell
# Formation energy = -0.322 eV per atom
# Crystal system = orthorhombic


No. 8
# CaTlPb2 (PBEsol, optimized geometry)
data_CaTlPb2
_cell_length_a 4.726
_cell_length_b 4.726
_cell_length_c 10.055
_cell_angle_alpha 90.00
_cell_angle_beta 90.00
_cell_angle_gamma 90.00
_space_group_name_H-M_alt 'I 4/m m m'
_space_group_IT_number 139
_space_group_name_Hall '-I 4 2'
loop_
_atom_site_label
_atom_site_type_symbol
_atom_site_fract_x
_atom_site_fract_y
_atom_site_fract_z
Ca1 Ca 0.000 0.000 0.000
Tl1 Tl 0.000 0.000 0.500
Pb1 Pb 0.000 0.500 0.250
# DFT total energy = -3.512 eV/atom
# DOS at the Fermi energy = 3.6 states/eV/cell
# Formation energy = -0.322 eV per atom
# Crystal system = tetragonal